# 1
The following is a DFT calculation (PBE) of a relaxed NaPuAg2Cl8 crystal.

Calculated values
Raw formation energy in eV/atom: -1.06
E_tot in eV per cell: -48.9

Cell: 7.6666 7.6666 7.6666 Å, 109.17 109.17 110.07°
Closest atoms and distances in Å follow each position.
Atoms (fractional coordinates):
Na (0.0000, 0.0000, 0.0000)  4 Cl 2.87
Pu (0.2500, 0.7500, 0.5000)  8 Cl 2.66-2.89
Ag (0.5000, 0.5000, 0.0000)  4 Cl 2.52
Ag (0.7500, 0.2500, 0.5000)  4 Cl 2.52
Cl (0.3023, 0.0969, 0.7946)  1 Ag 2.52, 1 Pu 2.66
Cl (0.3023, 0.5078, 0.2054)  1 Ag 2.52, 1 Pu 2.66
Cl (0.3486, 0.0262, 0.3225)  1 Ag 2.52
Cl (0.4922, 0.6977, 0.7946)  1 Ag 2.52, 1 Pu 2.66
Cl (0.7037, 0.0262, 0.6775)  1 Ag 2.52
Cl (0.9031, 0.6977, 0.2054)  1 Ag 2.52, 1 Pu 2.66
Cl (0.9738, 0.2963, 0.3225)  1 Ag 2.52
Cl (0.9738, 0.6514, 0.6775)  1 Ag 2.52

---

# 2
The following is a DFT calculation (PBE) of a relaxed Ce7Ir2Ru2 crystal.

Calculated values
Calculated formation energy in eV per atom: -0.38
E_tot in eV per cell: -82.0

Cell: 6.1830 6.1830 7.4612 Å, 93.20 93.20 111.82°
Closest atoms and distances in Å follow each position.
Atoms (fractional coordinates):
Ce (0.0000, 0.0000, 0.0000)  2 Ru 2.44
Ce (0.1166, 0.5333, 0.8044)  2 Ir 2.77-3.04, 1 Ru 3.11
Ce (0.2629, 0.2629, 0.4446)  1 Ru 2.63
Ce (0.4667, 0.8834, 0.1956)  2 Ir 2.77-3.04, 1 Ru 3.11
Ce (0.5333, 0.1166, 0.8044)  2 Ir 2.77-3.04, 1 Ru 3.11
Ce (0.7371, 0.7371, 0.5554)  1 Ru 2.63
Ce (0.8834, 0.4667, 0.1956)  2 Ir 2.77-3.04, 1 Ru 3.11
Ir (0.2213, 0.7787, 0.5000)  6 Ce 2.77-3.04
Ir (0.7787, 0.2213, 0.5000)  6 Ce 2.77-3.04
Ru (0.3447, 0.3447, 0.1085)  2 Ce 2.44-2.63
Ru (0.6553, 0.6553, 0.8915)  2 Ce 2.44-2.63

---

# 3
The following is a DFT calculation (PBE) of a relaxed LaYThMg crystal.

Calculated values
Distance to the lowest polymorph of the same formula in kJ/mol of formula units: 0
Calculated formation energy in eV per atom: -0.05
E_tot in eV per cell: -20.6

Cell: 3.6364 3.6364 9.3968 Å, 90.00 90.00 90.00°
Closest atoms and distances in Å follow each position.
Atoms (fractional coordinates):
La (0.0000, 0.0000, 0.0000)  4 Mg 3.52, 4 Th 3.56, 4 La 3.64
Y (0.0000, 0.0000, 0.4845)  4 Mg 3.35, 4 Th 3.51, 4 Y 3.64
Th (0.5000, 0.5000, 0.7384)  4 Y 3.51, 4 La 3.56, 4 Th 3.64
Mg (0.5000, 0.5000, 0.2561)  4 Y 3.35, 4 La 3.52, 4 Mg 3.64

---

# 4
The following is a DFT calculation (PBE) of a relaxed CoTc2Rh crystal.

Calculated values
Distance to the lowest polymorph of the same formula in kJ/mol of formula units: 67
Calculated formation energy in eV per atom: 0.09
E_tot in eV per cell: -34.8

Cell: 8.7531 8.7531 8.7531 Å, 17.70 17.70 17.70°
Closest atoms and distances in Å follow each position.
Atoms (fractional coordinates):
Co (0.0000, 0.0000, 0.0000)  6 Tc 2.59, 6 Co 2.69
Tc (0.2532, 0.2532, 0.2532)  3 Co 2.59, 6 Tc 2.69, 3 Rh 2.72
Tc (0.7468, 0.7468, 0.7468)  3 Co 2.59, 6 Tc 2.69, 3 Rh 2.72
Rh (0.5000, 0.5000, 0.5000)  6 Rh 2.69, 6 Tc 2.72

---

# 5
The following is a DFT calculation (PBE) of a relaxed Ac2BeSn2Au4 crystal.

Calculated values
Calculated formation energy in eV per atom: -0.52
E_tot in eV per cell: -37.8

Cell: 6.7805 6.7805 6.7805 Å, 120.01 120.01 89.98°
Closest atoms and distances in Å follow each position.
Atoms (fractional coordinates):
Ac (0.2500, 0.7500, 0.5000)  8 Au 3.39, 4 Sn 3.47
Ac (0.7500, 0.2500, 0.5000)  8 Au 3.39, 4 Sn 3.47
Be (0.0000, 0.0000, 0.0000)  4 Au 2.33
Sn (0.3251, 0.3251, 0.0000)  4 Au 2.98, 1 Be 3.12
Sn (0.6749, 0.6749, 0.0000)  4 Au 2.98, 1 Be 3.12
Au (0.2430, 0.2430, 0.4860)  1 Be 2.33
Au (0.2430, 0.7570, 0.0000)  1 Be 2.33
Au (0.7570, 0.2430, 0.0000)  1 Be 2.33
Au (0.7570, 0.7570, 0.5140)  1 Be 2.33

---

# 6
The following is a DFT calculation (PBE) of a relaxed Tl2ZnAu crystal.

Calculated values
Distance to the lowest polymorph of the same formula in kJ/mol of formula units: 43
Calculated formation energy in eV per atom: 0.10
E_tot in eV per cell: -8.9

Cell: 3.4329 3.4329 8.2454 Å, 90.00 90.00 90.08°
Closest atoms and distances in Å follow each position.
Atoms (fractional coordinates):
Tl (0.0000, 0.0000, 0.2388)  4 Au 3.12-3.13, 4 Zn 3.24-3.25, 4 Tl 3.43
Tl (0.0000, 0.0000, 0.7612)  4 Au 3.12-3.13, 4 Zn 3.24-3.25, 4 Tl 3.43
Zn (0.5000, 0.5000, 0.5000)  8 Tl 3.24-3.25, 4 Zn 3.43
Au (0.5000, 0.5000, 0.0000)  8 Tl 3.12-3.13, 4 Au 3.43